(1)
Material: ZrNi
Method: DFT, PBE
State: optimized geometry

Summary:
- Calculated volume: 33.6 Å³/f.u.
- ΔE_f: -0.257 eV/atom

```
data_ZrNi
_cell_length_a 10.857
_cell_length_b 3.282
_cell_length_c 4.053
_cell_angle_alpha 90.00
_cell_angle_beta 111.30
_cell_angle_gamma 90.00
_symmetry_space_group_name_H-M 'C 1 2/m 1'
_symmetry_Int_Tables_number 12
_symmetry_space_group_name_Hall '-C 2y'
loop_
_atom_site_label
_atom_site_fract_x
_atom_site_fract_y
_atom_site_fract_z
_atom_site_occupancy
Zr1 0.114 0.000 0.361 1
Ni1 0.158 0.500 0.904 1
```

***

(2)
Material: In3Pb4
Method: DFT, PBE
State: optimized geometry

Summary:
- Calculated volume: 208.3 Å³/f.u.
- ΔE_f: 0.010 eV/atom

```
data_In3Pb4
_cell_length_a 3.540
_cell_length_b 4.815
_cell_length_c 24.443
_cell_angle_alpha 90.00
_cell_angle_beta 90.00
_cell_angle_gamma 90.00
_symmetry_space_group_name_H-M 'I m m m'
_symmetry_Int_Tables_number 71
_symmetry_space_group_name_Hall '-I 2 2'
loop_
_atom_site_label
_atom_site_fract_x
_atom_site_fract_y
_atom_site_fract_z
_atom_site_occupancy
In1 0.000 0.000 0.000 1
In2 0.000 0.000 0.283 1
Pb1 0.000 0.000 0.146 1
Pb2 0.000 0.000 0.429 1
```